Compound: CaPb2Au
Source: Alexandria
Functional: PBE
Structure: relaxed

Cell: 4.5524 4.5524 10.5710 Å, 90.00 90.00 90.00°
Last column: nearest neighbours and their distance in Å.
Space group I4/mmm (No. 139)
Inequivalent atoms, fractional coordinates:
1 Ca 0.0000 0.0000 0.0000 (multiplicity 2)  4 Au 3.22, 8 Pb 3.49
2 Pb 0.0000 0.5000 0.2500 (multiplicity 4)  4 Pb 3.22, 4 Ca 3.49, 4 Au 3.49
3 Au 0.0000 0.0000 0.5000 (multiplicity 2)  4 Ca 3.22, 8 Pb 3.49

* Fermi-level density of states: 0.55 states/eV/atom
* spin magnetization: 0.00 μB per formula unit
* total DFT energy (no corrections): -3.46 eV/atom


Compound: Ca4Pb3Au
Source: Alexandria
Functional: PBE
Structure: relaxed

Cell: 3.6320 3.6320 17.3217 Å, 90.00 90.00 90.00°
Last column: nearest neighbours and their distance in Å.
Space group P4/mmm (No. 123)
Inequivalent atoms, fractional coordinates:
1 Ca 0.0000 0.0000 0.1044 (multiplicity 2)  4 Au 3.14, 4 Pb 3.43
2 Ca 0.0000 0.0000 0.3666 (multiplicity 2)  8 Pb 3.43-3.45, 4 Ca 3.63
3 Pb 0.5000 0.5000 0.2356 (multiplicity 2)  8 Ca 3.43, 4 Pb 3.63
4 Pb 0.5000 0.5000 0.5000 (multiplicity 1)  8 Ca 3.45, 4 Pb 3.63
5 Au 0.5000 0.5000 0.0000 (multiplicity 1)  8 Ca 3.14

* Fermi-level density of states: 0.58 states/eV/atom
* spin magnetization: 0.00 μB per formula unit
* total DFT energy (no corrections): -3.40 eV/atom


Compound: Ca3Pb2Au3
Source: Alexandria
Functional: PBE
Structure: relaxed

Cell: 8.9943 8.9943 6.2405 Å, 90.00 90.00 120.00°
Last column: nearest neighbours and their distance in Å.
Space group P6_3/mcm (No. 193)
Inequivalent atoms, fractional coordinates:
1 Ca 0.0000 0.2880 0.2500 (multiplicity 6)  5 Au 2.99-3.19
2 Pb 0.3333 0.6667 0.0000 (multiplicity 4)  2 Pb 3.12, 6 Au 3.27
3 Au 0.0000 0.3640 0.7500 (multiplicity 6)  5 Ca 2.99-3.19, 4 Pb 3.27

* Fermi-level density of states: 0.51 states/eV/atom
* spin magnetization: 0.00 μB per formula unit
* total DFT energy (no corrections): -3.46 eV/atom